PC2F: relaxed, PBE-GGA.

Properties
The value obtained for the density of states at the Fermi level is 0.315 states/eV/atom. The energy is -4.4393 eV per atom. The calculation puts the uncorrected formation energy at 1.99 eV per atom.

Unit cell a=3.657 b=3.657 c=3.657 alpha=60.00 beta=60.00 gamma=60.00
Element x y z (fractional)
P1 0.000 0.000 0.000
C1 0.250 0.250 0.250
C2 0.750 0.750 0.750
F1 0.500 0.500 0.500

***

PCF2: relaxed, PBE-GGA.

Properties
The value obtained for the density of states at the Fermi level is 0.000 states/eV/atom. The energy is -5.5282 eV per atom. The calculation puts the uncorrected formation energy at -0.93 eV per atom.

Unit cell a=4.095 b=5.383 c=6.710 alpha=93.71 beta=103.69 gamma=98.78
Element x y z (fractional)
P1 0.000 0.000 0.000
P2 0.237 0.854 0.767
C1 0.405 0.159 0.095
C2 0.582 0.118 0.937
F1 0.101 0.000 0.567
F2 0.557 0.294 0.281
F3 0.659 0.326 0.820
F4 0.883 0.782 0.133

***

Rb2PCF6: relaxed, PBE-GGA.

Properties
The value obtained for the density of states at the Fermi level is 0.000 states/eV/atom. The energy is -4.4311 eV per atom. The calculation puts the uncorrected formation energy at -1.65 eV per atom.

Unit cell a=6.537 b=6.537 c=6.537 alpha=60.00 beta=60.00 gamma=60.00
Element x y z (fractional)
Rb1 0.250 0.250 0.250
Rb2 0.750 0.750 0.750
P1 0.000 0.000 0.000
C1 0.500 0.500 0.500
F1 0.178 0.178 0.822
F2 0.178 0.822 0.178
F3 0.178 0.822 0.822
F4 0.822 0.178 0.178
F5 0.822 0.178 0.822
F6 0.822 0.822 0.178

***

PC2SF: relaxed, PBE-GGA.

Properties
The value obtained for the density of states at the Fermi level is 0.299 states/eV/atom. The energy is -4.1895 eV per atom. The calculation puts the uncorrected formation energy at 1.78 eV per atom.

Unit cell a=3.415 b=3.415 c=4.866 alpha=90.00 beta=90.00 gamma=90.00
Element x y z (fractional)
P1 0.000 0.000 0.000
C1 0.000 0.500 0.500
C2 0.500 0.000 0.500
S1 0.000 0.000 0.500
F1 0.500 0.500 0.000

***

SiPCF2: relaxed, PBE-GGA.

Properties
The value obtained for the density of states at the Fermi level is 0.317 states/eV/atom. The energy is -4.5373 eV per atom. The calculation puts the uncorrected formation energy at 0.22 eV per atom.

Unit cell a=4.510 b=4.510 c=3.187 alpha=90.00 beta=90.00 gamma=90.00
Element x y z (fractional)
Si1 0.000 0.000 0.000
P1 0.500 0.500 0.500
C1 0.500 0.500 0.000
F1 0.000 0.500 0.500
F2 0.500 0.000 0.500

***

TcPCF2: relaxed, PBE-GGA.

Properties
The value obtained for the density of states at the Fermi level is 0.853 states/eV/atom. The energy is -5.2493 eV per atom. The calculation puts the uncorrected formation energy at 0.50 eV per atom.

Unit cell a=3.909 b=3.909 c=4.884 alpha=90.00 beta=90.00 gamma=90.00
Element x y z (fractional)
Tc1 0.000 0.000 0.000
P1 0.000 0.000 0.500
C1 0.500 0.500 0.500
F1 0.000 0.500 0.000
F2 0.500 0.000 0.000

***

TcPC2F: relaxed, PBE-GGA.

Properties
The value obtained for the density of states at the Fermi level is 0.433 states/eV/atom. The energy is -5.9983 eV per atom. The calculation puts the uncorrected formation energy at 1.22 eV per atom.

Unit cell a=3.709 b=3.709 c=3.668 alpha=90.00 beta=90.00 gamma=90.00
Element x y z (fractional)
Tc1 0.000 0.000 0.000
P1 0.500 0.500 0.500
C1 0.000 0.500 0.500
C2 0.500 0.000 0.500
F1 0.500 0.500 0.000

***

Pa2CF: relaxed, PBE-GGA.

Properties
The value obtained for the density of states at the Fermi level is 1.569 states/eV/atom. The energy is -8.1257 eV per atom. The calculation puts the uncorrected formation energy at -0.60 eV per atom.

Unit cell a=3.126 b=3.126 c=6.537 alpha=90.00 beta=90.00 gamma=90.00
Element x y z (fractional)
Pa1 0.000 0.000 0.216
Pa2 0.000 0.000 0.784
C1 0.500 0.500 0.000
F1 0.500 0.500 0.500